BeTe2Au2 | PBE | relaxed

a b c (Å): 7.3891 7.3891 4.2683
angles (deg): 90.00 90.00 90.00
With the nearest neighbours (Å) after each atom.
Sites, in units of the cell vectors:
Be: 0.0000 0.0000 0.0000  4 Te 2.67
Be: 0.5000 0.5000 0.0000  4 Te 2.67
Te: 0.3026 0.8026 0.0000  2 Be 2.67, 2 Au 2.79
Te: 0.8026 0.6974 0.0000  2 Be 2.67, 2 Au 2.79
Te: 0.6974 0.1974 0.0000  2 Be 2.67, 2 Au 2.79
Te: 0.1974 0.3026 0.0000  2 Be 2.67, 2 Au 2.79
Au: 0.1304 0.6304 0.5000  1 Au 2.73, 2 Te 2.79
Au: 0.6304 0.8696 0.5000  1 Au 2.73, 2 Te 2.79
Au: 0.8696 0.3696 0.5000  1 Au 2.73, 2 Te 2.79
Au: 0.3696 0.1304 0.5000  1 Au 2.73, 2 Te 2.79

Total moment, μB/f.u.: 0.00
Distance to the lowest polymorph of the same formula, eV/atom: 0.0000
Space-group type: P4/mbm (127)